# 1
Below is ZrCrPb2 after structural relaxation, with properties calculated at the PBE level.

Results
Spin magnetization (Bohr magnetons per cell): 4.28
Space group: C2/m (12)
Calculated formation energy (eV per atom): 0.269
Fermi-level density of states (states/eV/f.u.): 2.423
Polymorph energy (0 for the lowest one) (eV/atom): 0.058

a b c (Å): 5.3517 5.3517 3.3148
angles (deg): 89.91 89.91 100.35
Positions (direct):
Zr (0.5000, 0.0000, 0.5000)
Cr (0.0000, 0.5000, 0.5000)
Pb (0.5000, 0.5000, 0.0000)
Pb (0.0000, 0.0000, 0.0000)


# 2
Below is ZrCrPb2 after structural relaxation, with properties calculated at the PBE level.

Results
Spin magnetization (Bohr magnetons per cell): 4.41
Space group: P4/mmm (123)
Calculated formation energy (eV per atom): 0.278
Fermi-level density of states (states/eV/f.u.): 2.782
Polymorph energy (0 for the lowest one) (eV/atom): 0.067

a b c (Å): 5.2768 3.3684 5.2757
angles (deg): 89.93 90.00 90.00
Positions (direct):
Pb (0.5000, 0.1250, 0.3752)
Zr (0.0000, 0.6250, 0.3749)
Pb (0.0000, 0.1250, 0.8749)
Cr (0.5000, 0.6250, 0.8750)


# 3
Below is ZrCrPb4 after structural relaxation, with properties calculated at the PBE level.

Results
Spin magnetization (Bohr magnetons per cell): 4.40
Space group: F-43m (216)
Calculated formation energy (eV per atom): 0.697
Fermi-level density of states (states/eV/f.u.): 5.422

a b c (Å): 6.2800 6.2800 6.2800
angles (deg): 60.00 60.00 60.00
Positions (direct):
Pb (0.3754, 0.3754, 0.3754)
Pb (0.3754, 0.8739, 0.3754)
Pb (0.8739, 0.3754, 0.3754)
Cr (0.0000, 0.0000, 0.0000)
Zr (0.7500, 0.7500, 0.7500)
Pb (0.3754, 0.3754, 0.8739)


# 4
Below is ZrCrPb2 after structural relaxation, with properties calculated at the PBE level.

Results
Spin magnetization (Bohr magnetons per cell): 3.81
Space group: I-4m2 (119)
Calculated formation energy (eV per atom): 0.211
Fermi-level density of states (states/eV/f.u.): 2.245
Polymorph energy (0 for the lowest one) (eV/atom): 0.000

a b c (Å): 5.8864 5.8864 5.8864
angles (deg): 137.49 137.51 61.66
Positions (direct):
Zr (0.4999, 0.4999, 0.0000)
Cr (0.7501, 0.2501, 0.5000)
Pb (0.0000, 0.0000, 0.0000)
Pb (0.2500, 0.7500, 0.5000)


# 5
Below is Zr3CrPb after structural relaxation, with properties calculated at the PBE level.

Results
Spin magnetization (Bohr magnetons per cell): 0.09
Space group: Pm-3m (221)
Calculated formation energy (eV per atom): 1.835
Fermi-level density of states (states/eV/f.u.): 12.297
Polymorph energy (0 for the lowest one) (eV/atom): 1.467

a b c (Å): 5.3217 5.3217 5.3217
angles (deg): 90.00 90.00 90.00
Positions (direct):
Zr (0.0000, 0.5000, 0.0000)
Zr (0.0000, 0.0000, 0.5000)
Zr (0.5000, 0.0000, 0.0000)
Pb (0.0000, 0.0000, 0.0000)
Cr (0.5000, 0.5000, 0.5000)


# 6
Below is ZrCrPb2 after structural relaxation, with properties calculated at the PBE level.

Results
Spin magnetization (Bohr magnetons per cell): 4.31
Space group: Cm (8)
Calculated formation energy (eV per atom): 0.253
Fermi-level density of states (states/eV/f.u.): 2.328
Polymorph energy (0 for the lowest one) (eV/atom): 0.042

a b c (Å): 5.9333 5.9333 5.2783
angles (deg): 71.65 71.65 32.41
Positions (direct):
Pb (0.2429, 0.2429, 0.3371)
Pb (0.0059, 0.0059, 0.9189)
Zr (0.4957, 0.4957, 0.4231)
Cr (0.7555, 0.7555, 0.8209)


# 7
Below is ZrCrPb2 after structural relaxation, with properties calculated at the PBE level.

Results
Spin magnetization (Bohr magnetons per cell): 5.37
Space group: I-42d (122)
Calculated formation energy (eV per atom): 0.423
Fermi-level density of states (states/eV/f.u.): 2.998
Polymorph energy (0 for the lowest one) (eV/atom): 0.212

a b c (Å): 7.8719 7.8719 6.3743
angles (deg): 51.87 51.87 90.00
Positions (direct):
Pb (0.6004, 0.1250, 0.2500)
Zr (0.7500, 0.2500, 0.5000)
Cr (0.2500, 0.7500, 0.5000)
Cr (0.5000, 0.5000, 0.0000)
Zr (0.0000, 0.0000, 0.0000)
Pb (0.8750, 0.8504, 0.7500)
Pb (0.1496, 0.6250, 0.2500)
Pb (0.3750, 0.3996, 0.7500)


# 8
Below is Cr5Pd after structural relaxation, with properties calculated at the PBE level.

Results
Spin magnetization (Bohr magnetons per cell): 3.61
Space group: Cmmm (65)
Calculated formation energy (eV per atom): 0.120
Fermi-level density of states (states/eV/f.u.): 3.626

a b c (Å): 2.9939 4.1969 6.5581
angles (deg): 108.66 90.00 90.00
Positions (direct):
Cr (0.5000, 0.5000, 0.0000)
Cr (0.5000, 0.1764, 0.3527)
Cr (0.0000, 0.3344, 0.6687)
Cr (0.5000, 0.8236, 0.6473)
Cr (0.0000, 0.6656, 0.3313)
Pd (0.0000, 0.0000, 0.0000)